[1]
Computed, not measured: crystalline YReOs at its relaxed geometry at the PBE level of DFT.

Structure (extended XYZ):
```
3
Lattice="6.459 0.001 -0.001 5.739 2.964 -0.002 0.720 0.176 2.958" Properties=species:S:1:pos:R:3 pbc="T T T"
Os 11.914 2.896 0.070
Y 8.358 2.032 0.988
Re 4.844 1.178 1.894
```

Properties
The value obtained for the total energy is -9.96 eV per atom. The density of states at the Fermi level comes out at 2.4 states/eV/f.u. The density is 13.6 Mg/m³. The formation energy from the elements is 8.2 kJ/mol of atoms. Its energy above the most stable polymorph in this dataset is 324 meV per atom.

[2]
Computed, not measured: crystalline HgTe2Au at its relaxed geometry at the PBE level of DFT.

Structure (extended XYZ):
```
8
Lattice="1.618 -11.954 0.000 1.618 11.954 0.000 0.000 0.000 5.766" Properties=species:S:1:pos:R:3 pbc="T T T"
Au 1.618 -10.442 4.324
Te 1.618 -10.754 1.441
Te 1.618 -7.730 4.324
Te 1.618 7.730 1.441
Au 1.618 10.442 1.441
Te 1.618 10.754 4.324
Hg 1.618 4.454 1.441
Hg 1.618 -4.454 4.324
```

Properties
The uncorrected formation energy comes out at 19 meV/atom. The value obtained for the total energy is -2.45 eV per atom. The density of states at the Fermi level comes out at 2.0 states/eV/f.u. The density is 9.7 Mg/m³.

[3]
Computed, not measured: crystalline LuMgZrZn at its relaxed geometry at the PBE level of DFT.

Structure (extended XYZ):
```
4
Lattice="-3.151 3.181 -2.119 -0.631 -0.040 -4.913 -4.251 -1.645 -1.938" Properties=species:S:1:pos:R:3 pbc="T T T"
Zn 0.000 0.000 0.000
Zr -2.008 0.374 -2.242
Mg -4.016 0.748 -4.485
Lu -6.025 1.122 -6.727
```

Properties
The value obtained for the total energy is -4.06 eV per atom. The density of states at the Fermi level comes out at 2.9 states/eV/f.u. The density is 6.9 Mg/m³. The formation energy from the elements is -7.3 kJ/mol of atoms.

[4]
Computed, not measured: crystalline PrHo3Hg4 at its relaxed geometry at the PBE level of DFT.

Structure (extended XYZ):
```
16
Lattice="5.259 0.000 0.000 0.000 7.615 0.000 0.000 0.000 10.518" Properties=species:S:1:pos:R:3 pbc="T T T"
Ho 0.000 0.000 0.000
Hg 0.003 1.802 2.629
Ho 2.632 3.807 2.629
Hg 5.256 5.813 7.888
Ho 0.000 0.000 5.259
Hg 2.629 5.813 5.259
Ho 2.632 0.000 2.629
Ho 2.627 3.807 7.888
Pr 0.000 3.807 5.259
Hg 5.256 1.802 7.888
Ho 2.627 0.000 7.888
Hg 2.629 1.802 0.000
Pr 0.000 3.807 0.000
Hg 2.629 1.802 5.259
Hg 2.629 5.813 0.000
Hg 0.003 5.813 2.629
```

Properties
The value obtained for the total energy is -2.94 eV per atom. The density of states at the Fermi level comes out at 7.5 states/eV/f.u. The density is 11.3 Mg/m³. The formation energy from the elements is -45.4 kJ/mol of atoms.

[5]
Computed, not measured: crystalline Pm4Mg2Ga at its relaxed geometry at the PBE level of DFT.

Structure (extended XYZ):
```
7
Lattice="-1.318 -4.268 -2.867 3.247 -1.734 -3.825 4.639 -7.054 3.454" Properties=species:S:1:pos:R:3 pbc="T T T"
Mg 4.963 -9.838 -2.377
Mg 1.606 -3.218 -0.861
Ga 0.000 0.000 0.000
Pm 4.750 -8.381 0.465
Pm 1.819 -4.675 -3.704
Pm 3.130 -5.146 1.307
Pm 3.438 -7.911 -4.546
```

Properties
The value obtained for the total energy is -3.65 eV per atom. The density of states at the Fermi level comes out at 8.3 states/eV/f.u. The density is 5.5 Mg/m³. The formation energy from the elements is -4.5 kJ/mol of atoms.

[6]
Computed, not measured: crystalline YVCu at its relaxed geometry at the PBE level of DFT.

Structure (extended XYZ):
```
12
Lattice="-0.125 -4.179 -0.343 1.037 0.548 -7.059 7.663 3.355 1.386" Properties=species:S:1:pos:R:3 pbc="T T T"
Y 7.131 0.893 -5.999
V 5.108 -1.250 -5.202
Y 2.781 -1.059 -3.162
Cu 4.612 -1.418 -0.697
Y 5.754 0.762 -2.584
V 4.104 1.310 -5.151
V 0.758 -3.201 -2.365
Cu 1.299 -2.822 -4.919
Y 2.441 -0.642 -6.807
Cu 7.637 2.736 -3.557
V 7.417 2.713 -0.928
Cu 3.287 0.785 -0.720
```

Properties
The value obtained for the total energy is -6.46 eV per atom. The density of states at the Fermi level comes out at 2.6 states/eV/f.u. The density is 5.9 Mg/m³. The formation energy from the elements is 9.9 kJ/mol of atoms. Its energy above the most stable polymorph in this dataset is 20 meV per atom.

[7]
Computed, not measured: crystalline Be2TlBr at its relaxed geometry at the PBE level of DFT.

Structure (extended XYZ):
```
4
Lattice="-1.252 1.707 2.848 -2.339 -1.391 -2.277 0.054 -6.891 4.154" Properties=species:S:1:pos:R:3 pbc="T T T"
Be -1.784 -1.311 1.171
Br 0.021 -2.721 1.640
Be 0.003 -0.409 0.246
Tl -1.751 -5.580 3.744
```

Properties
The uncorrected formation energy comes out at 444 meV/atom. The value obtained for the total energy is -2.43 eV per atom. The density of states at the Fermi level comes out at 1.1 states/eV/f.u. The density is 5.6 Mg/m³. Its energy above the most stable polymorph in this dataset is 115 meV per atom.

[8]
Computed, not measured: crystalline CrMoW3 at its relaxed geometry at the PBE level of DFT.

Structure (extended XYZ):
```
5
Lattice="-3.693 0.070 -2.853 -2.793 -1.048 3.590 -0.587 4.547 0.871" Properties=species:S:1:pos:R:3 pbc="T T T"
W -1.847 0.035 -1.426
Cr -3.536 1.785 0.804
W -1.396 -0.524 1.795
Mo 0.000 0.000 0.000
W -0.293 2.274 0.436
```

Properties
The value obtained for the total energy is -9.41 eV per atom. The density of states at the Fermi level comes out at 6.8 states/eV/f.u. The density is 11.4 Mg/m³. The formation energy from the elements is 236.7 kJ/mol of atoms. Its energy above the most stable polymorph in this dataset is 2042 meV per atom.

[9]
Computed, not measured: crystalline SrInGa at its relaxed geometry at the PBE level of DFT.

Structure (extended XYZ):
```
12
Lattice="-3.765 -1.995 2.504 -0.492 -6.116 -5.611 5.152 -4.345 4.285" Properties=species:S:1:pos:R:3 pbc="T T T"
In -2.315 -7.884 -2.446
Sr 1.210 -7.512 -1.726
Sr 3.831 -9.121 0.934
Sr -0.314 -4.944 2.905
In 0.421 -8.069 1.520
Ga 2.412 -6.006 1.280
Ga -1.516 -6.450 -0.102
In 0.475 -4.387 -0.342
Ga 0.902 -10.584 0.241
Ga -0.007 -1.872 0.937
Sr -2.936 -3.335 0.244
In 3.210 -4.572 3.624
```

Properties
The value obtained for the total energy is -2.93 eV per atom. The density of states at the Fermi level comes out at 0.5 states/eV/f.u. The density is 5.5 Mg/m³. The formation energy from the elements is -43.7 kJ/mol of atoms.

[10]
Computed, not measured: crystalline CaZnIN2 at its relaxed geometry at the PBE level of DFT.

Structure (extended XYZ):
```
5
Lattice="-0.767 2.866 -3.672 -3.884 1.660 2.107 3.543 4.637 2.879" Properties=species:S:1:pos:R:3 pbc="T T T"
Zn -0.554 4.581 0.657
N -1.942 0.830 1.054
Ca 0.000 0.000 0.000
I 1.771 2.318 1.440
N -0.384 1.433 -1.836
```

Properties
The uncorrected formation energy comes out at 1118 meV/atom. The value obtained for the total energy is -3.18 eV per atom. The density of states at the Fermi level comes out at 4.0 states/eV/f.u. The density is 3.0 Mg/m³. Its energy above the most stable polymorph in this dataset is 318 meV per atom.

[11]
Computed, not measured: crystalline Tb2GaNi2Rh5 at its relaxed geometry at the PBE level of DFT.

Structure (extended XYZ):
```
20
Lattice="-1.507 -3.481 -0.144 4.787 -2.382 7.503 -6.971 2.796 5.335" Properties=species:S:1:pos:R:3 pbc="T T T"
Tb 2.013 -1.119 5.984
Ga 0.000 0.000 0.000
Rh -5.983 0.326 4.678
Rh -0.745 -1.944 4.757
Rh -3.288 -0.861 5.175
Ni 1.573 -1.035 8.573
Rh -2.946 -1.123 7.937
Tb -0.744 -0.083 9.793
Tb -1.441 0.498 3.045
Tb -4.198 1.533 6.854
Rh -0.403 -2.206 7.519
Rh 2.292 -3.393 8.016
Rh -0.245 -2.039 1.815
Rh -4.239 -0.342 2.596
Ga -1.092 0.207 6.419
Ni 0.931 -0.547 3.482
Ni -3.115 0.961 9.356
Rh -3.446 -1.028 10.879
Rh 1.640 -2.932 3.679
Ni -3.757 1.450 4.265
```

Properties
The value obtained for the total energy is -6.59 eV per atom. The density of states at the Fermi level comes out at 8.7 states/eV/f.u. The density is 10.5 Mg/m³. The formation energy from the elements is -51.3 kJ/mol of atoms.

[12]
Computed, not measured: crystalline KLiCO3 at its relaxed geometry at the PBE level of DFT.

Structure (extended XYZ):
```
12
Lattice="-3.188 1.641 3.970 3.975 -3.435 1.008 3.578 4.445 1.036" Properties=species:S:1:pos:R:3 pbc="T T T"
K 4.271 1.591 2.772
O 2.556 2.545 4.605
Li 0.000 0.000 0.000
O 3.493 -1.348 1.836
O 0.872 3.999 4.178
K 0.094 1.060 3.242
C 1.883 3.283 3.760
C 2.482 -0.632 2.254
O 2.222 3.304 2.497
O 1.810 0.106 1.409
Li 1.789 2.222 0.518
O 2.143 -0.653 3.517
```

Properties
The uncorrected formation energy comes out at -1755 meV/atom. The value obtained for the total energy is -6.27 eV per atom. The density of states at the Fermi level comes out at 0.0 states/eV/f.u. The density is 2.5 Mg/m³. Its energy above the most stable polymorph in this dataset is 91 meV per atom.

Q: Number 2 is which compound?
A: HgTe2Au

Q: Number 1 is which compound?
A: YReOs